A relaxed structure of SmPaSi. Source: Alexandria via LeMat-Bulk, functional PBE.

POSCAR file:
```
SmPaSi
1.0
3.5939 0.0000 0.0000
0.0000 4.8371 0.0000
0.0000 -2.4186 4.1891
Si Pa Sm
1 1 1
Cartesian
0.0095 0.0000 0.0000
1.0049 2.4186 1.3964
2.5796 0.0000 2.7927
```

Output
Raw total energy ... -6.4420 eV/atom